1.
A relaxed Hf2PtCl crystal. Source: Alexandria, functional PBE.

abc: 4.7202 4.7202 4.7202
angles: 60.00 60.00 60.00
Element x y z (fractional)
Cl 0.0000 0.0000 0.0000
Hf 0.2500 0.2500 0.2500
Hf 0.7500 0.7500 0.7500
Pt 0.5000 0.5000 0.5000

Calculated values
For the density, the calculation gives 13.12 g/cm3. Its uncorrected formation energy is -0.568 eV/atom. The relative energy among the computed polymorphs comes out at 0.0000 eV/atom.


2.
A relaxed HfPtCl2 crystal. Source: Alexandria, functional PBE.

abc: 4.6155 4.6155 4.6155
angles: 60.00 60.00 60.00
Element x y z (fractional)
Pt 0.5000 0.5000 0.5000
Cl 0.2500 0.2500 0.2500
Cl 0.7500 0.7500 0.7500
Hf 0.0000 0.0000 0.0000

Calculated values
For the density, the calculation gives 10.62 g/cm3. Its uncorrected formation energy is -0.092 eV/atom. The relative energy among the computed polymorphs comes out at 0.4160 eV/atom.


3.
A relaxed Hf2PtCl crystal. Source: Alexandria, functional PBE.

abc: 5.1216 5.1216 8.0826
angles: 71.53 71.53 90.00
Element x y z (fractional)
Cl 0.5000 0.5000 0.0000
Hf 0.8750 0.8624 0.7500
Hf 0.3750 0.3876 0.7500
Cl 0.2500 0.7500 0.5000
Hf 0.6124 0.1250 0.2500
Pt 0.7500 0.2500 0.5000
Pt 0.0000 0.0000 0.0000
Hf 0.1376 0.6250 0.2500

Calculated values
For the density, the calculation gives 10.29 g/cm3. Its uncorrected formation energy is -0.254 eV/atom. The relative energy among the computed polymorphs comes out at 0.3148 eV/atom.


4.
A relaxed HfPtCl2 crystal. Source: Alexandria, functional PBE.

abc: 8.7769 8.7769 8.7769
angles: 20.82 20.82 20.82
Element x y z (fractional)
Cl 0.0952 0.0952 0.0952
Cl 0.9048 0.9048 0.9048
Hf 0.5000 0.5000 0.5000
Pt 0.0000 0.0000 0.0000

Calculated values
For the density, the calculation gives 9.87 g/cm3. Its uncorrected formation energy is -0.508 eV/atom. The relative energy among the computed polymorphs comes out at 0.0000 eV/atom.


5.
A relaxed HfPtCl2 crystal. Source: Alexandria, functional PBE.

abc: 6.1412 6.1412 6.4788
angles: 61.71 61.71 90.00
Element x y z (fractional)
Cl 0.3750 0.3807 0.7500
Cl 0.1307 0.6250 0.2500
Hf 0.2500 0.7500 0.5000
Pt 0.0000 0.0000 0.0000
Cl 0.6193 0.1250 0.2500
Cl 0.8750 0.8693 0.7500
Pt 0.7500 0.2500 0.5000
Hf 0.5000 0.5000 0.0000

Calculated values
For the density, the calculation gives 8.14 g/cm3. Its uncorrected formation energy is 0.240 eV/atom. The relative energy among the computed polymorphs comes out at 0.7486 eV/atom.


6.
A relaxed HfPt3Cl crystal. Source: Alexandria, functional PBE.

abc: 4.9920 4.9920 4.9920
angles: 90.00 90.00 90.00
Element x y z (fractional)
Pt 0.5000 0.0000 0.0000
Pt 0.0000 0.5000 0.0000
Cl 0.5000 0.5000 0.5000
Pt 0.0000 0.0000 0.5000
Hf 0.0000 0.0000 0.0000

Calculated values
For the density, the calculation gives 10.67 g/cm3. Its uncorrected formation energy is 0.820 eV/atom. The relative energy among the computed polymorphs comes out at 0.1730 eV/atom.


7.
A relaxed HfPt3Cl crystal. Source: Alexandria, functional PBE.

abc: 4.5665 4.5665 4.5665
angles: 90.00 90.00 90.00
Element x y z (fractional)
Pt 0.0000 0.0000 0.5000
Hf 0.5000 0.5000 0.5000
Cl 0.0000 0.0000 0.0000
Pt 0.0000 0.5000 0.0000
Pt 0.5000 0.0000 0.0000

Calculated values
For the density, the calculation gives 13.94 g/cm3. Its uncorrected formation energy is 0.647 eV/atom. The relative energy among the computed polymorphs comes out at 0.0000 eV/atom.


8.
A relaxed HfPtSCl2 crystal. Source: Alexandria, functional PBE.

abc: 4.7459 4.7459 4.8499
angles: 90.00 90.00 90.00
Element x y z (fractional)
Hf 0.5000 0.5000 0.5000
Pt 0.0000 0.0000 0.0000
Cl 0.5000 0.0000 0.0000
S 0.0000 0.0000 0.5000
Cl 0.0000 0.5000 0.0000

Calculated values
For the density, the calculation gives 7.24 g/cm3. Its uncorrected formation energy is 0.331 eV/atom. The relative energy among the computed polymorphs comes out at 0.5722 eV/atom.


9.
A relaxed HfPtS2Cl crystal. Source: Alexandria, functional PBE.

abc: 4.7171 4.7171 4.6370
angles: 90.00 90.00 90.00
Element x y z (fractional)
Hf 0.5000 0.5000 0.5000
Pt 0.0000 0.0000 0.0000
Cl 0.0000 0.0000 0.5000
S 0.0000 0.5000 0.0000
S 0.5000 0.0000 0.0000

Calculated values
For the density, the calculation gives 7.61 g/cm3. Its uncorrected formation energy is 0.262 eV/atom. The relative energy among the computed polymorphs comes out at 0.3774 eV/atom.


10.
A relaxed HfPtS2Cl crystal. Source: Alexandria, functional PBE.

abc: 4.9430 4.9430 4.8146
angles: 90.00 90.00 90.00
Element x y z (fractional)
S 0.5000 0.0000 0.0000
Pt 0.5000 0.5000 0.5000
Hf 0.0000 0.0000 0.0000
Cl 0.0000 0.0000 0.5000
S 0.0000 0.5000 0.0000

Calculated values
For the density, the calculation gives 6.68 g/cm3. Its uncorrected formation energy is -0.115 eV/atom. The relative energy among the computed polymorphs comes out at 0.0000 eV/atom.


11.
A relaxed HfPtSCl2 crystal. Source: Alexandria, functional PBE.

abc: 4.8852 4.8852 4.9516
angles: 90.00 90.00 90.00
Element x y z (fractional)
Cl 0.0000 0.5000 0.0000
S 0.0000 0.0000 0.5000
Cl 0.5000 0.0000 0.0000
Pt 0.5000 0.5000 0.5000
Hf 0.0000 0.0000 0.0000

Calculated values
For the density, the calculation gives 6.70 g/cm3. Its uncorrected formation energy is -0.242 eV/atom. The relative energy among the computed polymorphs comes out at 0.0000 eV/atom.


12.
A relaxed Hf2TePtCl crystal. Source: Alexandria, functional PBE.

abc: 5.1368 5.3487 5.1368
angles: 90.00 90.00 90.00
Element x y z (fractional)
Hf 0.0000 0.0000 0.5000
Hf 0.5000 0.0000 0.0000
Pt 0.0000 0.0000 0.0000
Te 0.0000 0.5000 0.0000
Cl 0.5000 0.5000 0.5000

Calculated values
For the density, the calculation gives 8.41 g/cm3. Its uncorrected formation energy is 0.284 eV/atom.